1.
Here is an optimized crystal structure of LuMnCo2 from Alexandria. Energies are from PBE.

Calculated total energy   -84.3 eV/cell
Total moment   0.939 μB per atom
Formation enthalpy at 0 K   -0.05 eV/atom
Relative energy among the computed polymorphs   0.015 eV per atom
D(E_F)   1.079 states/eV/atom

abc: 4.0098 4.0098 13.6206
angles: 90.00 90.00 120.00
With the nearest neighbours (Å) after each atom.
Space group R-3m (No. 166, hexagonal axes)
Symmetry-distinct sites (fractional):
Lu  0.0000  0.0000  0.0000 x3  8 Co 2.69-2.96
Mn  0.0000  0.0000  0.5000 x3  6 Co 2.35
Co  0.0000  0.0000  0.1978 x6  3 Mn 2.35, 3 Co 2.47


2.
Here is an optimized crystal structure of PtW2Br from Alexandria. Energies are from PBE.

Formation energy without anion corrections   700 meV per atom
Calculated total energy   -61.6 eV/cell
Total moment   0.000 μB per atom
Relative energy among the computed polymorphs   0.295 eV per atom
D(E_F)   0.722 states/eV/atom

abc: 10.2532 3.0083 4.8331
angles: 90.00 107.02 90.00
With the nearest neighbours (Å) after each atom.
Space group Cm (No. 8)
Symmetry-distinct sites (fractional):
Pt  0.0000  0.0000  0.0000 x2  5 W 2.77-2.83, 2 Pt 3.01
W  0.2390  0.5000  0.0888 x2  2 W 2.57, 2 Br 2.61, 3 Pt 2.80-2.83
W  0.4262  0.0000  0.4105 x2  2 W 2.57, 1 Br 2.65, 2 Pt 2.77
Br  0.2204  0.0000  0.6374 x2  3 W 2.61-2.65